A plane-wave DFT calculation with PBE was carried out for a relaxed structure of NaGa2Si2.

Cell lengths 4.3225, 4.3225, 10.5479 Å; angles 90.00, 90.00, 90.00 degrees
Space group I4/mmm (No. 139)
Unique sites:
Na1 0.0000 0.0000 0.0000 [2 per cell]
Ga1 0.0000 0.0000 0.3815 [4 per cell]
Si1 0.0000 0.5000 0.2500 [4 per cell]

uncorrected formation energy	0.06	eV per atom
energy above the most stable polymorph in this dataset	82.2	meV/atom
magnetization	0.000	μB per atom

---

A plane-wave DFT calculation with PBE was carried out for a relaxed structure of LaGd2Y.

Cell lengths 5.1200, 5.1200, 5.1320 Å; angles 90.00, 90.00, 90.00 degrees
Space group P4/mmm (No. 123)
Unique sites:
La1 0.0000 0.0000 0.0000 [1 per cell]
Gd1 0.0000 0.5000 0.5000 [2 per cell]
Y1 0.5000 0.5000 0.0000 [1 per cell]

energy above the most stable polymorph in this dataset	0.0	meV/atom
formation energy from the elements	0.10	eV/f.u.
magnetization	3.721	μB per atom